# 1
Entry from the Alexandria database: a relaxed structure of Ba4C5 (PBE-GGA).

## Properties
Its formation energy is 1088 meV per atom. Its spin magnetization is 3.39 μB per formula unit.

Lattice parameters (Å, degrees): 7.2088 7.2088 10.2054 90.00 90.00 120.00
Space group P6_3/mcm (No. 193)
One atom of each set of equivalent atoms:
Ba (0.0000, 0.0000, 0.0000) [2 per cell]
Ba (0.0000, 0.4515, 0.2500) [6 per cell]
C (0.0000, 0.1184, 0.7500) [6 per cell]
C (0.3333, 0.6667, 0.0000) [4 per cell]

=====

# 2
Entry from the Alexandria database: a relaxed structure of Co3SiB (PBE-GGA).

## Properties
The uncorrected formation energy comes out at -0.563 eV per formula unit. Its spin magnetization is 0.00 μB per formula unit.

Lattice parameters (Å, degrees): 3.727 3.727 3.727 90.00 90.00 90.00
Space group Pm-3m (No. 221)
One atom of each set of equivalent atoms:
Co (0.000, 0.000, 0.500) [3 per cell]
Si (0.500, 0.500, 0.500) [1 per cell]
B (0.000, 0.000, 0.000) [1 per cell]